1.
DFT (PBE) results for a relaxed structure of LiDy2Tm.

Computed properties:
Final energy in eV per formula unit: -14.9
DFT formation energy in eV/f.u.: 0.7
Crystal system: cubic
Offset from the most stable computed form in meV per atom: 95
Calculated volume in Å³ per atom: 28.4
N(E_F) in states/eV per cell: 3.04

Cell: 5.4358 5.4358 5.4358 Å, 60.00 60.00 60.00°
Positions (direct):
Tm (0.0000, 0.0000, 0.0000)
Dy (0.7500, 0.7500, 0.7500)
Dy (0.2500, 0.2500, 0.2500)
Li (0.5000, 0.5000, 0.5000)

***

2.
DFT (PBE) results for a relaxed structure of Er2TmMg7.

Computed properties:
Final energy in eV per formula unit: -22.4
DFT formation energy in eV/f.u.: 2.4
Crystal system: orthorhombic
Calculated volume in Å³ per atom: 27.4
N(E_F) in states/eV per cell: 9.74

Cell: 3.3392 7.5426 11.5161 Å, 109.12 90.00 90.00°
Positions (direct):
Mg (0.5000, 0.9325, 0.2427)
Mg (0.5000, 0.6898, 0.7573)
Mg (0.0000, 0.6125, 0.2250)
Mg (0.5000, 0.3102, 0.2427)
Mg (0.5000, 0.5000, 0.0000)
Mg (0.5000, 0.0675, 0.7573)
Mg (0.0000, 0.3875, 0.7750)
Tm (0.0000, 0.0000, 0.0000)
Er (0.5000, 0.2596, 0.5193)
Er (0.5000, 0.7404, 0.4807)

***

Repeat the second record exactly.
DFT (PBE) results for a relaxed structure of Er2TmMg7.

Computed properties:
Final energy in eV per formula unit: -22.4
DFT formation energy in eV/f.u.: 2.4
Crystal system: orthorhombic
Calculated volume in Å³ per atom: 27.4
N(E_F) in states/eV per cell: 9.74

Cell: 3.3392 7.5426 11.5161 Å, 109.12 90.00 90.00°
Positions (direct):
Mg (0.5000, 0.9325, 0.2427)
Mg (0.5000, 0.6898, 0.7573)
Mg (0.0000, 0.6125, 0.2250)
Mg (0.5000, 0.3102, 0.2427)
Mg (0.5000, 0.5000, 0.0000)
Mg (0.5000, 0.0675, 0.7573)
Mg (0.0000, 0.3875, 0.7750)
Tm (0.0000, 0.0000, 0.0000)
Er (0.5000, 0.2596, 0.5193)
Er (0.5000, 0.7404, 0.4807)